NbTlCo2Sb | PBE | optimized geometry

Results
ΔE_f (raw): 1.0642 eV per atom
DOS(E_F): 7.05 states/eV per cell
electronic total energy: -5.090 eV/atom

Cell and atoms, written as extended XYZ:
```
5
Lattice="4.6354 0.0000 0.0000 0.0000 4.6354 0.0000 0.0000 0.0000 5.2298" Properties=species:S:1:pos:R:3 pbc="T T T"
Nb 0.0000 0.0000 0.0000
Tl 2.3177 2.3177 0.0000
Co 0.0000 2.3177 2.6149
Co 2.3177 0.0000 2.6149
Sb 0.0000 0.0000 2.6149
```